No. 1
Density functional theory data (GGA-PBE) for crystalline Pr2Ho3Cd2 at its relaxed geometry.

The structure in POSCAR format:
```
Pr2Ho3Cd2
1.0
1.796 -16.539 0.000
1.796 16.539 0.000
0.000 0.000 3.543
Pr Ho Cd
2 3 2
Cartesian
1.796 9.865 0.000
1.796 -9.865 0.000
1.796 14.106 0.000
1.796 0.000 1.772
1.796 -14.106 0.000
1.796 4.447 1.772
1.796 -4.447 1.772
```

## Properties
For the spin magnetization, the calculation gives 0.00 Bohr magnetons per cell. The space-group type is Cmmm. For the formation energy from the elements, the calculation gives -116 meV per atom. The density of states at the Fermi level is 7.86 states/eV per cell. Its energy above the most stable polymorph in this dataset is 2.1 kJ per mole of atoms. As for the total energy: -0.27228 Ry per atom.

No. 2
Density functional theory data (GGA-PBE) for crystalline Cs3PuTh2Se6 at its relaxed geometry.

The structure in POSCAR format:
```
Cs3PuTh2Se6
1.0
3.768 -6.526 0.000
3.768 6.526 0.000
-2.511 0.000 8.449
Cs Pu Th Se
3 1 2 6
Cartesian
0.000 0.000 0.000
3.768 2.155 0.000
3.768 -2.155 0.000
2.512 0.000 4.225
2.512 4.349 4.225
2.512 -4.349 4.225
1.239 2.205 2.609
-0.034 0.000 5.835
1.239 -2.205 2.609
3.786 2.205 5.840
5.059 0.000 2.614
3.786 -2.205 5.840
```

## Properties
The value obtained for the formation energy (no corrections) is -18.3 eV/f.u. For the spin magnetization, the calculation gives 6.65 Bohr magnetons per cell. The space-group type is C2/m. The density of states at the Fermi level is 17.53 states/eV per cell. As for the total energy: -0.43463 Ry per atom.

No. 3
Density functional theory data (GGA-PBE) for crystalline AgGeB3 at its relaxed geometry.

The structure in POSCAR format:
```
AgGeB3
1.0
4.238 0.000 0.000
0.000 4.238 0.000
0.000 0.000 4.238
Ag Ge B
1 1 3
Cartesian
0.000 0.000 0.000
2.119 2.119 2.119
0.000 0.000 2.119
0.000 2.119 0.000
2.119 0.000 0.000
```

## Properties
For the spin magnetization, the calculation gives 0.00 Bohr magnetons per cell. The space-group type is Pm-3m. For the formation energy from the elements, the calculation gives 2092 meV per atom. The density of states at the Fermi level is 3.54 states/eV per cell. Its energy above the most stable polymorph in this dataset is 18.3 kJ per mole of atoms. As for the total energy: -0.25048 Ry per atom.

No. 4
Density functional theory data (GGA-PBE) for crystalline ZrGaReRh2 at its relaxed geometry.

The structure in POSCAR format:
```
ZrGaReRh2
1.0
4.700 0.000 0.000
0.000 4.700 0.000
0.000 0.000 4.692
Zr Ga Re Rh
1 1 1 2
Cartesian
0.000 0.000 0.000
2.350 2.350 0.000
2.350 2.350 2.346
0.000 2.350 2.346
2.350 0.000 2.346
```

## Properties
For the spin magnetization, the calculation gives 0.00 Bohr magnetons per cell. The space-group type is P4/mmm. For the formation energy from the elements, the calculation gives 713 meV per atom. The density of states at the Fermi level is 4.59 states/eV per cell. As for the total energy: -0.51688 Ry per atom.

No. 5
Density functional theory data (GGA-PBE) for crystalline Pm4SmEr at its relaxed geometry.

The structure in POSCAR format:
```
Pm4SmEr
1.0
11.692 -3.090 0.000
11.692 3.090 0.000
-1.441 0.000 5.634
Pm Sm Er
8 2 2
Cartesian
8.836 2.008 3.772
7.812 1.176 0.507
12.385 2.008 4.679
14.851 1.176 2.310
7.091 -1.176 3.324
9.557 -2.008 0.955
14.131 -1.176 5.126
13.106 -2.008 1.862
5.125 1.545 2.817
5.846 -1.545 0.000
11.332 1.059 1.408
10.611 -1.059 4.225
```

## Properties
For the spin magnetization, the calculation gives 0.00 Bohr magnetons per cell. The space-group type is C2/c. For the formation energy from the elements, the calculation gives 62 meV per atom. The density of states at the Fermi level is 19.44 states/eV per cell. Its energy above the most stable polymorph in this dataset is 0.0 kJ per mole of atoms. As for the total energy: -0.34189 Ry per atom.

No. 6
Density functional theory data (GGA-PBE) for crystalline HoSc6Co2 at its relaxed geometry.

The structure in POSCAR format:
```
HoSc6Co2
1.0
-4.436 4.636 4.705
4.436 -4.636 4.705
4.436 4.636 -4.705
Ho Sc Co
2 12 4
Cartesian
0.000 0.000 0.000
0.000 0.000 4.705
4.436 2.531 -2.446
2.541 1.764 0.000
6.331 1.764 0.000
1.706 4.636 -1.731
2.730 0.000 2.974
0.000 2.106 2.259
4.436 2.531 2.446
1.706 4.636 1.731
2.730 0.000 6.436
-1.895 2.872 4.705
1.895 2.872 4.705
0.000 2.106 7.151
4.436 0.000 1.113
0.000 3.049 0.000
0.000 6.224 0.000
0.000 4.636 3.592
```

## Properties
For the spin magnetization, the calculation gives 0.00 Bohr magnetons per cell. The space-group type is Immm. For the formation energy from the elements, the calculation gives -94 meV per atom. The density of states at the Fermi level is 25.06 states/eV per cell. As for the total energy: -0.47062 Ry per atom.

No. 7
Density functional theory data (GGA-PBE) for crystalline SrMgAlPt2 at its relaxed geometry.

The structure in POSCAR format:
```
SrMgAlPt2
1.0
4.764 0.000 0.000
0.000 4.764 0.000
0.000 0.000 5.475
Sr Mg Al Pt
1 1 1 2
Cartesian
0.000 0.000 0.000
2.382 2.382 0.000
0.000 0.000 2.738
0.000 2.382 2.738
2.382 0.000 2.738
```

## Properties
For the spin magnetization, the calculation gives 0.00 Bohr magnetons per cell. The space-group type is P4/mmm. For the formation energy from the elements, the calculation gives 106 meV per atom. The density of states at the Fermi level is 4.34 states/eV per cell. Its energy above the most stable polymorph in this dataset is 97.2 kJ per mole of atoms. As for the total energy: -0.27296 Ry per atom.

No. 8
Density functional theory data (GGA-PBE) for crystalline ThCN3 at its relaxed geometry.

The structure in POSCAR format:
```
ThCN3
1.0
4.473 0.000 0.000
0.000 4.803 0.000
-2.092 0.000 5.935
Th C N
2 2 6
Cartesian
-0.108 1.201 1.617
2.488 3.602 4.318
0.638 1.201 4.496
1.743 3.602 1.438
0.601 3.602 0.735
0.024 0.097 3.999
0.024 2.305 3.999
2.356 2.499 1.935
2.356 4.706 1.935
1.779 1.201 5.200
```

## Properties
The value obtained for the formation energy (no corrections) is -3.2 eV/f.u. For the spin magnetization, the calculation gives 0.00 Bohr magnetons per cell. The space-group type is P2_1/m. The density of states at the Fermi level is 2.44 states/eV per cell. As for the total energy: -0.65837 Ry per atom.

No. 9
Density functional theory data (GGA-PBE) for crystalline Ce2NdSm3Se6 at its relaxed geometry.

The structure in POSCAR format:
```
Ce2NdSm3Se6
1.0
3.620 -6.279 0.000
3.620 6.279 0.000
-2.418 0.000 6.875
Ce Nd Sm Se
2 1 3 6
Cartesian
3.620 4.188 0.000
3.620 -4.188 0.000
3.620 0.000 0.000
-1.209 0.000 3.438
2.412 2.054 3.438
2.412 -2.054 3.438
-0.011 2.108 5.126
1.189 0.000 1.731
-0.011 -2.108 5.126
4.834 2.108 1.749
3.634 0.000 5.144
4.834 -2.108 1.749
```

## Properties
The value obtained for the formation energy (no corrections) is -22.0 eV/f.u. For the spin magnetization, the calculation gives 1.89 Bohr magnetons per cell. The space-group type is C2/m. The density of states at the Fermi level is 14.90 states/eV per cell. As for the total energy: -0.45117 Ry per atom.

No. 10
Density functional theory data (GGA-PBE) for crystalline Cr2HgSe at its relaxed geometry.

The structure in POSCAR format:
```
Cr2HgSe
1.0
1.730 0.999 7.265
-1.730 0.999 7.265
0.000 -1.997 7.265
Cr Hg Se
2 1 1
Cartesian
0.000 0.000 5.231
0.000 0.000 16.563
0.000 0.000 0.000
0.000 0.000 10.897
```

## Properties
The value obtained for the formation energy (no corrections) is 0.9 eV/f.u. For the spin magnetization, the calculation gives 6.76 Bohr magnetons per cell. The space-group type is R-3m. The density of states at the Fermi level is 2.68 states/eV per cell. Its energy above the most stable polymorph in this dataset is 1.7 kJ per mole of atoms. As for the total energy: -0.40623 Ry per atom.

No. 11
Density functional theory data (GGA-PBE) for crystalline TcSb7 at its relaxed geometry.

The structure in POSCAR format:
```
TcSb7
1.0
0.000 4.670 4.670
4.670 0.000 4.670
4.670 4.670 0.000
Tc Sb
1 7
Cartesian
0.000 0.000 0.000
2.335 2.335 0.000
2.335 0.000 2.335
4.670 2.335 2.335
0.000 2.335 2.335
2.335 4.670 2.335
2.335 2.335 4.670
4.670 4.670 4.670
```

## Properties
The value obtained for the formation energy (no corrections) is 4.3 eV/f.u. For the spin magnetization, the calculation gives 2.07 Bohr magnetons per cell. The space-group type is Fm-3m. The density of states at the Fermi level is 8.29 states/eV per cell. As for the total energy: -0.32097 Ry per atom.

No. 12
Density functional theory data (GGA-PBE) for crystalline GdYGa at its relaxed geometry.

The structure in POSCAR format:
```
GdYGa
1.0
0.000 3.534 3.534
3.534 0.000 3.534
3.534 3.534 0.000
Gd Y Ga
1 1 1
Cartesian
0.000 0.000 0.000
3.534 3.534 3.534
5.302 5.302 5.302
```

## Properties
For the spin magnetization, the calculation gives 7.75 Bohr magnetons per cell. The space-group type is F-43m. For the formation energy from the elements, the calculation gives -280 meV per atom. The density of states at the Fermi level is 3.83 states/eV per cell. Its energy above the most stable polymorph in this dataset is 9.7 kJ per mole of atoms. As for the total energy: -0.59811 Ry per atom.